# CsCrH8N2O8 | Alexandria via LeMat-Bulk | GGA+U | optimized geometry
# total magnetic moment = 0.931 μB/f.u.
# total energy = -5.19 eV/atom
# N(E_F) = 0.00 states/eV per cell
data_CsCrH8N2O8
_chemical_formula_sum 'Cs2 Cr2 H16 N4 O16'
_space_group_name_H-M_alt 'I -4 2 m'
_space_group_IT_number 121
_space_group_name_Hall 'I -4 2'
_cell_length_a 7.0162
_cell_length_b 7.0162
_cell_length_c 8.9294
_cell_angle_alpha 90.00
_cell_angle_beta 90.00
_cell_angle_gamma 90.00
loop_
_atom_site_label
_atom_site_type_symbol
_atom_site_fract_x
_atom_site_fract_y
_atom_site_fract_z
_atom_site_occupancy
Cs1 Cs 0.0000 0.0000 0.0000 1
Cr1 Cr 0.0000 0.0000 0.5000 1
H1 H 0.0288 0.3790 0.3139 1
N1 N 0.0000 0.5000 0.2500 1
O1 O 0.1395 0.1395 0.3490 1
O2 O 0.1970 0.1970 0.4986 1